FeCoP2O | GGA+U | relaxed

The structure in POSCAR format:
```
FeCoP2O
1.0
4.716 0.000 0.000
0.000 4.716 0.000
0.000 0.000 3.535
P Co Fe O
2 1 1 1
Direct
0.000 0.500 0.000
0.500 0.000 0.000
0.500 0.500 0.500
0.000 0.000 0.000
0.000 0.000 0.500
```

Total energy: -4.67 eV/atom
Relative energy among the computed polymorphs: 185 meV per atom
SG: P4/mmm (123)
DOS at the Fermi energy: 4.0 states/eV/f.u.
Total magnetic moment: 4.3 μB per cell